1.
Compound: CaLaPr2S4
Source: Alexandria
Functional: PBE-GGA
Structure: relaxed

Computed properties:
- Calculated volume: 24.4 Å³/atom
- Formation energy from raw total energies: -2068 meV/atom
- Magnetic moment: 0.00 μB/atom

abc: 8.2054 8.2054 8.1734
angles: 119.87 119.88 89.95
Closest atoms and distances in Å follow each position.
Fractional coordinates of all 16 atoms:
S 0.2425 0.7435 0.4929  2 Ca 2.86, 3 Pr 2.89-2.94, 1 La 2.91
S 0.7542 0.7458 0.0010  1 Ca 2.85, 3 Pr 2.90-2.95, 2 La 2.91
S 0.2458 0.2542 0.9990  1 Ca 2.85, 3 Pr 2.90-2.95, 2 La 2.91
S 0.7565 0.2575 0.0071  2 Ca 2.86, 3 Pr 2.89-2.94, 1 La 2.91
S 0.7575 0.2565 0.5071  2 Ca 2.86, 3 Pr 2.89-2.94, 1 La 2.91
S 0.2458 0.2542 0.5010  1 Ca 2.85, 3 Pr 2.90-2.95, 2 La 2.91
S 0.7542 0.7458 0.4990  1 Ca 2.85, 3 Pr 2.90-2.95, 2 La 2.91
S 0.2435 0.7425 0.9929  2 Ca 2.86, 3 Pr 2.89-2.94, 1 La 2.91
Pr 0.5000 0.0000 0.5000  6 S 2.94-2.95
Pr 0.0000 0.0000 0.5000  6 S 2.89-2.90
Pr 0.5000 0.5000 0.0000  6 S 2.89-2.90
Pr 0.5000 0.0000 0.0000  6 S 2.94-2.95
Ca 0.0000 0.5000 0.5000  6 S 2.85-2.86
Ca 0.0000 0.5000 0.0000  6 S 2.85-2.86
La 0.0000 0.0000 0.0000  6 S 2.91
La 0.5000 0.5000 0.5000  6 S 2.91

***

2.
Compound: LiPuMgCo
Source: Alexandria
Functional: PBE-GGA
Structure: relaxed

Computed properties:
- Calculated volume: 18.1 Å³/atom
- Energy of formation: 0.174 eV/atom
- Magnetic moment: 1.31 μB/atom

abc: 4.6764 4.6764 4.6764
angles: 60.00 60.00 60.00
Closest atoms and distances in Å follow each position.
Fractional coordinates of all 4 atoms:
Li 0.0000 0.0000 0.0000  4 Mg 2.86, 4 Pu 2.86
Mg 0.2500 0.2500 0.2500  4 Co 2.86, 4 Li 2.86
Co 0.5000 0.5000 0.5000  4 Pu 2.86, 4 Mg 2.86
Pu 0.7500 0.7500 0.7500  4 Co 2.86, 4 Li 2.86

***

3.
Compound: Mn3WS
Source: Alexandria
Functional: PBE-GGA
Structure: relaxed

Computed properties:
- Calculated volume: 20.4 Å³/atom
- Formation energy from raw total energies: 1471 meV/atom
- Magnetic moment: 1.62 μB/atom

abc: 4.6747 4.6747 4.6747
angles: 90.00 90.00 90.00
Closest atoms and distances in Å follow each position.
Fractional coordinates of all 5 atoms:
S 0.5000 0.5000 0.5000  12 Mn 3.31
Mn 0.0000 0.0000 0.5000  2 W 2.34
Mn 0.0000 0.5000 0.0000  2 W 2.34
Mn 0.5000 0.0000 0.0000  2 W 2.34
W 0.0000 0.0000 0.0000  6 Mn 2.34

***

4.
Compound: TiBiAsO5
Source: Alexandria
Functional: PBE-GGA
Structure: relaxed

Computed properties:
- Calculated volume: 14.3 Å³/atom
- Formation energy from raw total energies: -1780 meV/atom
- Magnetic moment: 0.00 μB/atom

abc: 5.8149 5.8149 8.2095
angles: 110.63 110.63 99.85
Closest atoms and distances in Å follow each position.
Fractional coordinates of all 16 atoms:
O 0.2334 0.3590 0.6231  1 As 1.79, 1 Ti 1.95
O 0.3590 0.2334 0.1231  1 As 1.79, 1 Ti 1.95
O 0.0381 0.9619 0.2500  2 Ti 2.08, 1 Bi 2.25
O 0.8912 0.3165 0.0634  1 Ti 2.00, 1 As 2.20
O 0.6410 0.7666 0.8769  1 As 1.79, 1 Ti 1.95
O 0.7666 0.6410 0.3769  1 As 1.79, 1 Ti 1.95
O 0.1088 0.6835 0.9366  1 Ti 2.00, 1 As 2.20
O 0.3165 0.8912 0.5634  1 Ti 2.00, 1 As 2.20
O 0.6835 0.1088 0.4366  1 Ti 2.00, 1 As 2.20
O 0.9619 0.0381 0.7500  2 Ti 2.08, 1 Bi 2.25
Bi 0.2915 0.7085 0.2500  5 O 2.25-2.48
Bi 0.7085 0.2915 0.7500  5 O 2.25-2.48
As 0.7024 0.2976 0.2500  2 O 1.79
As 0.2976 0.7024 0.7500  2 O 1.79
Ti 0.0000 0.0000 0.0000  6 O 1.95-2.08
Ti 0.0000 0.0000 0.5000  6 O 1.95-2.08

***

5.
Compound: Cu4TcBr
Source: Alexandria
Functional: PBE-GGA
Structure: relaxed

Computed properties:
- Calculated volume: 14.5 Å³/atom
- Formation energy from raw total energies: 625 meV/atom
- Magnetic moment: 0.42 μB/atom

abc: 4.9785 4.9785 4.9785
angles: 60.00 60.00 60.00
Closest atoms and distances in Å follow each position.
Fractional coordinates of all 6 atoms:
Tc 0.2500 0.2500 0.2500  12 Cu 2.92, 4 Br 3.05
Cu 0.1267 0.6244 0.6244  6 Cu 2.48-2.50
Cu 0.6244 0.6244 0.6244  6 Cu 2.48-2.50
Cu 0.6244 0.6244 0.1267  6 Cu 2.48-2.50
Cu 0.6244 0.1267 0.6244  6 Cu 2.48-2.50
Br 0.0000 0.0000 0.0000  12 Cu 2.92, 4 Tc 3.05

***

6.
Compound: Ho3ErPu2Se6
Source: Alexandria
Functional: PBE-GGA
Structure: relaxed

Computed properties:
- Calculated volume: 24.0 Å³/atom
- Formation energy from raw total energies: -1681 meV/atom
- Magnetic moment: 0.98 μB/atom

abc: 4.0620 8.1939 9.1278
angles: 103.20 102.86 90.00
Closest atoms and distances in Å follow each position.
Fractional coordinates of all 12 atoms:
Se 0.0028 0.7527 0.0057  3 Ho 2.86-2.89, 2 Er 2.88, 1 Pu 2.92
Se 0.3345 0.4132 0.6690  3 Ho 2.86, 3 Pu 2.91-2.92
Se 0.6655 0.5868 0.3310  3 Ho 2.86, 3 Pu 2.91-2.92
Se 0.3345 0.9225 0.6691  3 Ho 2.86-2.88, 1 Er 2.86, 2 Pu 2.92
Se 0.9972 0.2473 0.9943  3 Ho 2.86-2.89, 2 Er 2.88, 1 Pu 2.92
Se 0.6655 0.0775 0.3309  3 Ho 2.86-2.88, 1 Er 2.86, 2 Pu 2.92
Er 0.5000 0.0000 0.0000  6 Se 2.86-2.88
Pu 0.1658 0.3330 0.3316  6 Se 2.91-2.92
Pu 0.8342 0.6670 0.6684  6 Se 2.91-2.92
Ho 0.8317 0.1665 0.6635  6 Se 2.86-2.88
Ho 0.5000 0.5000 0.0000  6 Se 2.86-2.89
Ho 0.1683 0.8335 0.3365  6 Se 2.86-2.88

***

7.
Compound: Pa2GaRh2
Source: Alexandria
Functional: PBE-GGA
Structure: relaxed

Computed properties:
- Calculated volume: 20.4 Å³/atom
- Energy of formation: -0.777 eV/atom
- Magnetic moment: 0.00 μB/atom

abc: 3.6579 7.4639 7.4639
angles: 90.00 90.00 90.00
Closest atoms and distances in Å follow each position.
Fractional coordinates of all 10 atoms:
Ga 0.5000 0.0000 0.5000  4 Rh 2.90
Ga 0.5000 0.5000 0.0000  4 Rh 2.90
Rh 0.5000 0.6353 0.6353  6 Pa 2.71-2.97, 1 Rh 2.86, 2 Ga 2.90
Rh 0.5000 0.1353 0.8647  6 Pa 2.71-2.97, 1 Rh 2.86, 2 Ga 2.90
Rh 0.5000 0.3647 0.3647  6 Pa 2.71-2.97, 1 Rh 2.86, 2 Ga 2.90
Rh 0.5000 0.8647 0.1353  6 Pa 2.71-2.97, 1 Rh 2.86, 2 Ga 2.90
Pa 0.0000 0.3249 0.6751  6 Rh 2.71-2.97
Pa 0.0000 0.6751 0.3249  6 Rh 2.71-2.97
Pa 0.0000 0.1751 0.1751  6 Rh 2.71-2.97
Pa 0.0000 0.8249 0.8249  6 Rh 2.71-2.97

***

8.
Compound: PmHoSb2
Source: Alexandria
Functional: PBE-GGA
Structure: relaxed

Computed properties:
- Calculated volume: 31.5 Å³/atom
- Formation energy from raw total energies: -1024 meV/atom
- Magnetic moment: 0.00 μB/atom

abc: 4.4014 4.4014 7.9257
angles: 73.88 73.88 60.00
Closest atoms and distances in Å follow each position.
Fractional coordinates of all 4 atoms:
Pm 0.6689 0.6689 0.9933  6 Sb 3.14-3.21
Ho 0.4980 0.4980 0.5061  6 Sb 3.12-3.17
Sb 0.0844 0.0844 0.7467  3 Ho 3.12, 3 Pm 3.14
Sb 0.2487 0.2487 0.2539  3 Ho 3.17, 3 Pm 3.21

***

9.
Compound: Al2PbIO
Source: Alexandria
Functional: PBE-GGA
Structure: relaxed

Computed properties:
- Calculated volume: 24.9 Å³/atom
- Formation energy from raw total energies: -120 meV/atom
- Magnetic moment: 0.00 μB/atom

abc: 4.3149 6.6862 4.3149
angles: 90.00 90.00 90.00
Closest atoms and distances in Å follow each position.
Fractional coordinates of all 5 atoms:
O 0.0000 0.0000 0.0000  4 Al 2.16
I 0.0000 0.5000 0.0000  4 Pb 3.05, 2 O 3.34
Al 0.0000 0.0000 0.5000  2 O 2.16
Al 0.5000 0.0000 0.0000  2 O 2.16
Pb 0.5000 0.5000 0.5000  4 I 3.05

***

10.
Compound: CsMnGe2
Source: Alexandria
Functional: PBE-GGA
Structure: relaxed

Computed properties:
- Calculated volume: 33.6 Å³/atom
- Energy of formation: 0.121 eV/atom
- Magnetic moment: 0.31 μB/atom

abc: 6.6200 6.6200 7.7141
angles: 64.59 64.59 90.00
Closest atoms and distances in Å follow each position.
Fractional coordinates of all 8 atoms:
Ge 0.3751 0.6250 0.2500  2 Mn 2.26
Ge 0.3750 0.6251 0.7500  2 Mn 2.26
Ge 0.3749 0.1250 0.2500  2 Mn 2.26
Ge 0.8750 0.6249 0.7500  2 Mn 2.26
Cs 0.7500 0.2500 0.5000  8 Ge 4.01
Cs 0.0000 0.0000 0.0000  8 Ge 4.01
Mn 0.5000 0.5000 0.0000  4 Ge 2.26
Mn 0.2500 0.7500 0.5000  4 Ge 2.26

***

11.
Compound: TmNi5Sn2
Source: Alexandria
Functional: PBE-GGA
Structure: relaxed

Computed properties:
- Calculated volume: 15.8 Å³/atom
- Energy of formation: -0.305 eV/atom
- Magnetic moment: 0.00 μB/atom

abc: 3.9765 6.8116 6.8116
angles: 46.35 73.03 73.03
Closest atoms and distances in Å follow each position.
Fractional coordinates of all 8 atoms:
Ni 0.3951 0.3790 0.8307  4 Ni 2.42-2.64, 3 Sn 2.56-2.69
Ni 0.3951 0.8307 0.3790  4 Ni 2.42-2.64, 3 Sn 2.56-2.69
Ni 0.0000 0.5000 0.5000  2 Sn 2.60, 8 Ni 2.64, 2 Tm 2.68
Ni 0.6049 0.6210 0.1693  4 Ni 2.42-2.64, 3 Sn 2.56-2.69
Ni 0.6049 0.1693 0.6210  4 Ni 2.42-2.64, 3 Sn 2.56-2.69
Sn 0.2189 0.2811 0.2811  7 Ni 2.56-2.69
Sn 0.7811 0.7189 0.7189  7 Ni 2.56-2.69
Tm 0.0000 0.0000 0.0000  10 Ni 2.68-2.77

***

12.
Compound: LiMo2Pb
Source: Alexandria
Functional: PBE-GGA
Structure: relaxed

Computed properties:
- Calculated volume: 17.9 Å³/atom
- Energy of formation: 0.509 eV/atom
- Magnetic moment: 0.00 μB/atom

abc: 4.8179 2.8739 5.2335
angles: 81.31 90.00 90.00
Closest atoms and distances in Å follow each position.
Fractional coordinates of all 4 atoms:
Pb 0.5000 0.2500 0.2500  2 Li 2.79, 2 Pb 2.87, 4 Mo 2.92
Mo 0.0000 0.4474 0.5297  1 Mo 2.41
Mo 0.0000 0.0526 0.9703  1 Mo 2.41
Li 0.5000 0.7500 0.7500  2 Pb 2.79, 4 Mo 2.86, 2 Li 2.87